No. 1
Computed, not measured: a geometry-optimized La4Pr2Tl structure at the PBE level of DFT.

The structure in CIF format:
```
data_La4Pr2Tl
_chemical_formula_sum 'La4 Pr2 Tl1'
_cell_length_a 6.3332
_cell_length_b 6.2072
_cell_length_c 7.1141
_cell_angle_alpha 115.87
_cell_angle_beta 90.00
_cell_angle_gamma 90.00
_space_group_name_H-M_alt 'P 1'
_space_group_IT_number 1
_space_group_name_Hall 'P 1'
loop_
_atom_site_label
_atom_site_fract_x
_atom_site_fract_y
_atom_site_fract_z
Pr1 0.5000 0.1381 0.2763
Tl1 0.0000 0.5000 0.0000
La1 0.5000 0.6160 0.2321
La2 0.0000 0.8474 0.6948
La3 0.5000 0.3840 0.7679
La4 0.0000 0.1526 0.3052
Pr2 0.5000 0.8619 0.7237
```

Computed properties:
Formation enthalpy at 0 K = 321 meV/atom
Energy above the lowest structure with this stoichiometry = 304.8 meV/atom

No. 2
Computed, not measured: a geometry-optimized Na2PrIn structure at the PBE level of DFT.

The structure in CIF format:
```
data_Na2PrIn
_chemical_formula_sum 'Na2 Pr1 In1'
_cell_length_a 3.4507
_cell_length_b 3.4507
_cell_length_c 12.7544
_cell_angle_alpha 82.23
_cell_angle_beta 82.23
_cell_angle_gamma 60.00
_space_group_name_H-M_alt 'P 1'
_space_group_IT_number 1
_space_group_name_Hall 'P 1'
loop_
_atom_site_label
_atom_site_fract_x
_atom_site_fract_y
_atom_site_fract_z
Pr1 0.0000 0.0000 0.0000
In1 0.5000 0.5000 0.5000
Na1 0.9078 0.9078 0.2767
Na2 0.0922 0.0922 0.7233
```

Computed properties:
Formation enthalpy at 0 K = 134 meV/atom

No. 3
Computed, not measured: a geometry-optimized Cd2IrBr structure at the PBE level of DFT.

The structure in CIF format:
```
data_Cd2IrBr
_chemical_formula_sum 'Cd2 Ir1 Br1'
_cell_length_a 4.8315
_cell_length_b 4.8315
_cell_length_c 4.8315
_cell_angle_alpha 60.00
_cell_angle_beta 60.00
_cell_angle_gamma 60.00
_space_group_name_H-M_alt 'P 1'
_space_group_IT_number 1
_space_group_name_Hall 'P 1'
loop_
_atom_site_label
_atom_site_fract_x
_atom_site_fract_y
_atom_site_fract_z
Cd1 0.0000 0.0000 0.0000
Ir1 0.7500 0.7500 0.7500
Cd2 0.2500 0.2500 0.2500
Br1 0.5000 0.5000 0.5000
```

Computed properties:
Energy relative to the elements, uncorrected = 0.571 eV per atom
Energy above the lowest structure with this stoichiometry = 551.8 meV/atom

No. 4
Computed, not measured: a geometry-optimized Pr8IrPd2 structure at the PBE level of DFT.

The structure in CIF format:
```
data_Pr8IrPd2
_chemical_formula_sum 'Pr8 Ir1 Pd2'
_cell_length_a 5.2161
_cell_length_b 6.9882
_cell_length_c 9.4237
_cell_angle_alpha 99.63
_cell_angle_beta 106.07
_cell_angle_gamma 90.00
_space_group_name_H-M_alt 'P 1'
_space_group_IT_number 1
_space_group_name_Hall 'P 1'
loop_
_atom_site_label
_atom_site_fract_x
_atom_site_fract_y
_atom_site_fract_z
Pr1 0.7982 0.6662 0.5965
Pd1 0.8027 0.2558 0.6055
Pr2 0.0328 0.7842 0.0655
Pr3 0.4132 0.5666 0.8265
Ir1 0.5000 0.0000 0.0000
Pr4 0.6631 0.9680 0.3262
Pr5 0.2018 0.3338 0.4035
Pr6 0.3369 0.0320 0.6738
Pr7 0.5868 0.4334 0.1735
Pd2 0.1973 0.7442 0.3945
Pr8 0.9672 0.2158 0.9345
```

Computed properties:
Formation enthalpy at 0 K = -381 meV/atom
Energy above the lowest structure with this stoichiometry = 0.0 meV/atom

No. 5
Computed, not measured: a geometry-optimized NaTiTcBr2 structure at the PBE level of DFT.

The structure in CIF format:
```
data_NaTiTcBr2
_chemical_formula_sum 'Na1 Ti1 Tc1 Br2'
_cell_length_a 5.0574
_cell_length_b 5.7092
_cell_length_c 5.0574
_cell_angle_alpha 90.00
_cell_angle_beta 90.00
_cell_angle_gamma 90.00
_space_group_name_H-M_alt 'P 1'
_space_group_IT_number 1
_space_group_name_Hall 'P 1'
loop_
_atom_site_label
_atom_site_fract_x
_atom_site_fract_y
_atom_site_fract_z
Tc1 0.0000 0.5000 0.0000
Na1 0.0000 0.0000 0.0000
Br1 0.5000 0.0000 0.0000
Ti1 0.5000 0.5000 0.5000
Br2 0.0000 0.0000 0.5000
```

Computed properties:
Energy relative to the elements, uncorrected = 0.997 eV per atom
Energy above the lowest structure with this stoichiometry = 880.0 meV/atom

No. 6
Computed, not measured: a geometry-optimized KAgPbBr5 structure at the PBE level of DFT.

The structure in CIF format:
```
data_KAgPbBr5
_chemical_formula_sum 'K2 Ag2 Pb2 Br10'
_cell_length_a 8.0335
_cell_length_b 8.0335
_cell_length_c 10.9485
_cell_angle_alpha 101.68
_cell_angle_beta 101.68
_cell_angle_gamma 112.68
_space_group_name_H-M_alt 'P 1'
_space_group_IT_number 1
_space_group_name_Hall 'P 1'
loop_
_atom_site_label
_atom_site_fract_x
_atom_site_fract_y
_atom_site_fract_z
Br1 0.6146 0.7001 0.9332
Ag1 0.3266 0.6734 0.7500
Br2 0.7001 0.6146 0.4332
Pb1 0.0000 0.0000 0.0000
Ag2 0.6734 0.3266 0.2500
Br3 0.2999 0.3854 0.5668
Br4 0.0813 0.9187 0.2500
K1 0.6680 0.3320 0.7500
Br5 0.3854 0.2999 0.0668
Br6 0.9187 0.0813 0.7500
K2 0.3320 0.6680 0.2500
Br7 0.2970 0.8816 0.5944
Br8 0.1184 0.7030 0.9056
Br9 0.8816 0.2970 0.0944
Pb2 0.0000 0.0000 0.5000
Br10 0.7030 0.1184 0.4056
```

Computed properties:
Energy relative to the elements, uncorrected = -0.830 eV per atom

In eV/atom, the raw total energy values for the records above are, in order, -4.199; -2.405; -2.520; -5.606; -3.588; -2.833.